[1]
Below is an optimized crystal structure of MnNbRu2I, with properties calculated at the PBE level.

Calculated volume ... 114.3 Å³ per cell
Formation energy (no corrections) ... 701 kJ/mol of formula units

abc: 4.797 4.797 4.969
angles: 90.00 90.00 90.00
Space group P4/mmm (No. 123)
Unique sites:
Mn1 0.000 0.000 0.000 (multiplicity 1)
Nb1 0.000 0.000 0.500 (multiplicity 1)
Ru1 0.000 0.500 0.500 (multiplicity 2)
I1 0.500 0.500 0.000 (multiplicity 1)

=====

[2]
Below is an optimized crystal structure of CsHgAs, with properties calculated at the PBE level.

Calculated volume ... 245.5 Å³ per cell
Electronic total energy ... -6.693 eV/f.u.

abc: 6.208 6.516 6.660
angles: 72.96 72.71 87.90
Space group P1 (No. 1)
Unique sites:
Cs1 0.000 0.000 0.000 (multiplicity 1)
Cs2 0.419 0.473 0.205 (multiplicity 1)
Hg1 0.582 0.222 0.712 (multiplicity 1)
Hg2 0.816 0.674 0.616 (multiplicity 1)
As1 0.173 0.566 0.742 (multiplicity 1)
As2 0.465 0.865 0.526 (multiplicity 1)

=====

[3]
Below is an optimized crystal structure of Ni2Pt, with properties calculated at the PBE level.

Calculated volume ... 152.9 Å³ per cell
Electronic total energy ... -17.757 eV/f.u.

abc: 5.232 2.670 10.947
angles: 90.00 90.00 90.00
Space group Pnma (No. 62)
Unique sites:
Ni1 0.116 0.250 0.249 (multiplicity 4)
Ni2 0.128 0.250 0.588 (multiplicity 4)
Pt1 0.138 0.250 0.912 (multiplicity 4)

=====

[4]
Below is an optimized crystal structure of MnCo2Rh, with properties calculated at the PBE level.

Calculated volume ... 47.8 Å³ per cell
Electronic total energy ... -30.448 eV/f.u.

abc: 2.630 3.497 5.197
angles: 90.00 90.00 90.00
Space group Pmm2 (No. 25)
Unique sites:
Mn1 0.000 0.000 0.000 (multiplicity 1)
Co1 0.000 0.000 0.533 (multiplicity 1)
Co2 0.500 0.500 0.750 (multiplicity 1)
Rh1 0.500 0.500 0.256 (multiplicity 1)

=====

[5]
Below is an optimized crystal structure of LaBeSe2F, with properties calculated at the PBE level.

Calculated volume ... 100.2 Å³ per cell
Formation energy (no corrections) ... -569 kJ/mol of formula units

abc: 5.647 5.647 3.143
angles: 90.00 90.00 90.00
Space group P4/mmm (No. 123)
Unique sites:
La1 0.000 0.000 0.000 (multiplicity 1)
Be1 0.500 0.500 0.000 (multiplicity 1)
Se1 0.000 0.500 0.500 (multiplicity 2)
F1 0.500 0.500 0.500 (multiplicity 1)

=====

[6]
Below is an optimized crystal structure of Sr2TaMo, with properties calculated at the PBE level.

Calculated volume ... 96.3 Å³ per cell
Distance to the lowest polymorph of the same formula ... 0.686 eV/atom

abc: 4.169 4.169 5.544
angles: 90.00 90.00 90.00
Space group P4/mmm (No. 123)
Unique sites:
Sr1 0.000 0.500 0.000 (multiplicity 2)
Ta1 0.000 0.000 0.500 (multiplicity 1)
Mo1 0.500 0.500 0.500 (multiplicity 1)

=====

[7]
Below is an optimized crystal structure of Tb2PuSe4, with properties calculated at the PBE level.

Calculated volume ... 756.8 Å³ per cell
Formation energy (no corrections) ... -1180 kJ/mol of formula units

abc: 4.056 13.482 13.840
angles: 90.00 90.00 90.00
Space group Cmcm (No. 63)
Unique sites:
Tb1 0.000 0.133 0.068 (multiplicity 8)
Pu1 0.000 0.381 0.250 (multiplicity 4)
Se1 0.000 0.039 0.250 (multiplicity 4)
Se2 0.000 0.226 0.622 (multiplicity 8)
Se3 0.000 0.500 0.000 (multiplicity 4)

=====

[8]
Below is an optimized crystal structure of YMn2Cr, with properties calculated at the PBE level.

Calculated volume ... 142.7 Å³ per cell
Distance to the lowest polymorph of the same formula ... 0.182 eV/atom

abc: 3.438 4.500 9.223
angles: 90.00 90.00 90.00
Space group Imm2 (No. 44)
Unique sites:
Y1 0.000 0.000 0.000 (multiplicity 2)
Mn1 0.000 0.000 0.441 (multiplicity 2)
Mn2 0.000 0.500 0.231 (multiplicity 2)
Cr1 0.000 0.500 0.764 (multiplicity 2)

=====

[9]
Below is an optimized crystal structure of Pa3Tl4CuO12, with properties calculated at the PBE level.

Calculated volume ... 640.3 Å³ per cell
Formation energy (no corrections) ... -3889 kJ/mol of formula units

abc: 8.619 8.619 8.619
angles: 90.00 90.00 90.00
Space group Im-3m (No. 229)
Unique sites:
Pa1 0.000 0.000 0.500 (multiplicity 6)
Tl1 0.250 0.250 0.250 (multiplicity 8)
Cu1 0.000 0.000 0.000 (multiplicity 2)
O1 0.000 0.000 0.248 (multiplicity 12)
O2 0.000 0.250 0.500 (multiplicity 12)

=====

[10]
Below is an optimized crystal structure of Pm3CoHg, with properties calculated at the PBE level.

Calculated volume ... 145.0 Å³ per cell
Distance to the lowest polymorph of the same formula ... 0.138 eV/atom

abc: 5.253 5.253 5.253
angles: 90.00 90.00 90.00
Space group Pm-3m (No. 221)
Unique sites:
Pm1 0.000 0.000 0.500 (multiplicity 3)
Co1 0.000 0.000 0.000 (multiplicity 1)
Hg1 0.500 0.500 0.500 (multiplicity 1)

=====

[11]
Below is an optimized crystal structure of NaDyCdPt, with properties calculated at the PBE level.

Calculated volume ... 337.0 Å³ per cell
Electronic total energy ... -14.653 eV/f.u.

abc: 6.959 6.959 6.959
angles: 90.00 90.00 90.00
Space group F-43m (No. 216)
Unique sites:
Na1 0.000 0.000 0.000 (multiplicity 4)
Dy1 0.250 0.250 0.250 (multiplicity 4)
Cd1 0.250 0.250 0.750 (multiplicity 4)
Pt1 0.000 0.000 0.500 (multiplicity 4)

=====

[12]
Below is an optimized crystal structure of SrPtS, with properties calculated at the PBE level.

Calculated volume ... 304.3 Å³ per cell
Formation energy (no corrections) ... -335 kJ/mol of formula units

abc: 6.497 6.427 7.696
angles: 90.00 108.77 90.00
Space group Cc (No. 9)
Unique sites:
Sr1 0.000 0.226 0.000 (multiplicity 4)
Pt1 0.488 0.243 0.948 (multiplicity 4)
S1 0.205 0.395 0.721 (multiplicity 4)

=====

[13]
Below is an optimized crystal structure of InRe2Sb, with properties calculated at the PBE level.

Calculated volume ... 71.6 Å³ per cell
Formation energy (no corrections) ... 258 kJ/mol of formula units
Distance to the lowest polymorph of the same formula ... 0.424 eV/atom

abc: 3.120 4.782 4.801
angles: 90.00 90.00 90.00
Space group Pmm2 (No. 25)
Unique sites:
In1 0.000 0.000 0.000 (multiplicity 1)
Re1 0.000 0.500 0.690 (multiplicity 1)
Re2 0.500 0.000 0.508 (multiplicity 1)
Sb1 0.500 0.500 0.204 (multiplicity 1)